1.
Density functional theory data (GGA-PBE) for DyMgCdNi after structural relaxation.

Calculated values
* calculated density: 7.4 Mg/m³
* calculated formation energy: -18.49 kJ per mole of atoms
* space group: F-43m

a = 4.8523 Å, b = 4.8523 Å, c = 4.8523 Å
α = 60.00°, β = 60.00°, γ = 60.00°
Fractional positions:
Ni 0.7500 0.7500 0.7500
Mg 0.0000 0.0000 0.0000
Cd 0.2500 0.2500 0.2500
Dy 0.5000 0.5000 0.5000

2.
Density functional theory data (GGA-PBE) for DyMgCdPb after structural relaxation.

Calculated values
* excess energy over the best structure of this formula in the dataset: 0.000 eV/atom
* calculated density: 8.4 Mg/m³
* calculated formation energy: -32.11 kJ per mole of atoms
* space group: Pmmm

a = 4.4023 Å, b = 4.6481 Å, c = 4.8864 Å
α = 90.00°, β = 90.00°, γ = 90.00°
Fractional positions:
Dy 0.5000 0.0000 0.5000
Mg 0.5000 0.5000 0.0000
Cd 0.0000 0.0000 0.0000
Pb 0.0000 0.5000 0.5000

3.
Density functional theory data (GGA-PBE) for DyMgCdPb after structural relaxation.

Calculated values
* excess energy over the best structure of this formula in the dataset: 0.117 eV/atom
* calculated density: 8.3 Mg/m³
* calculated formation energy: -20.81 kJ per mole of atoms
* space group: F-43m

a = 5.2381 Å, b = 5.2381 Å, c = 5.2381 Å
α = 60.00°, β = 60.00°, γ = 60.00°
Fractional positions:
Pb 0.2500 0.2500 0.2500
Mg 0.0000 0.0000 0.0000
Cd 0.7500 0.7500 0.7500
Dy 0.5000 0.5000 0.5000

Please write out number 1 again, unchanged.
Density functional theory data (GGA-PBE) for DyMgCdNi after structural relaxation.

Calculated values
* calculated density: 7.4 Mg/m³
* calculated formation energy: -18.49 kJ per mole of atoms
* space group: F-43m

a = 4.8523 Å, b = 4.8523 Å, c = 4.8523 Å
α = 60.00°, β = 60.00°, γ = 60.00°
Fractional positions:
Ni 0.7500 0.7500 0.7500
Mg 0.0000 0.0000 0.0000
Cd 0.2500 0.2500 0.2500
Dy 0.5000 0.5000 0.5000

calculated formation energy of number 2 (DyMgCdPb)? -32.11 kJ per mole of atoms